# RbMoW | OQMD via LeMat-Bulk | PBE | optimized geometry
data_RbMoW
_cell_length_a 6.522
_cell_length_b 6.522
_cell_length_c 6.522
_cell_angle_alpha 90.00
_cell_angle_beta 90.00
_cell_angle_gamma 90.00
_space_group_name_H-M_alt 'F -4 3 m'
_space_group_IT_number 216
_space_group_name_Hall 'F -4 2 3'
loop_
_atom_site_label
_atom_site_type_symbol
_atom_site_fract_x
_atom_site_fract_y
_atom_site_fract_z
Rb1 Rb 0.000 0.000 0.000
Mo1 Mo 0.250 0.250 0.250
W1 W 0.000 0.000 0.500
# Calculated total energy   -0.4301 Ry/atom